[1]
# SrAc2TmTe5, optimized geometry, DFT PBE
# D(E_F): 0.52 states/eV/atom
# M_tot: 0.00 μB per formula unit
data_SrAc2TmTe5
_chemical_formula_sum 'Sr1 Ac2 Tm1 Te5'
_cell_length_a 5.483
_cell_length_b 5.483
_cell_length_c 12.009
_cell_angle_alpha 90.00
_cell_angle_beta 90.00
_cell_angle_gamma 90.00
_symmetry_space_group_name_H-M 'P 4/m m m'
_symmetry_Int_Tables_number 123
_symmetry_space_group_name_Hall '-P 4 2'
loop_
_atom_site_label
_atom_site_type_symbol
_atom_site_fract_x
_atom_site_fract_y
_atom_site_fract_z
Sr1 Sr 0.000 0.000 0.000
Ac1 Ac 0.500 0.500 0.300
Tm1 Tm 0.000 0.000 0.500
Te1 Te 0.000 0.000 0.254
Te2 Te 0.000 0.500 0.500
Te3 Te 0.500 0.500 0.000


[2]
# Sr3AcY2Te6, optimized geometry, DFT PBE
# D(E_F): 0.44 states/eV/atom
# M_tot: 0.00 μB per formula unit
data_Sr3AcY2Te6
_chemical_formula_sum 'Sr6 Ac2 Y4 Te12'
_cell_length_a 7.924
_cell_length_b 13.713
_cell_length_c 8.071
_cell_angle_alpha 90.00
_cell_angle_beta 109.20
_cell_angle_gamma 90.00
_symmetry_space_group_name_H-M 'C 1 2/m 1'
_symmetry_Int_Tables_number 12
loop_
_symmetry_equiv_pos_as_xyz
'x,y,z'
'-x,-y,-z'
'-x,y,-z'
'x,-y,z'
'x+1/2,y+1/2,z'
'-x+1/2,-y+1/2,-z'
'-x+1/2,y+1/2,-z'
'x+1/2,-y+1/2,z'
loop_
_atom_site_label
_atom_site_type_symbol
_atom_site_fract_x
_atom_site_fract_y
_atom_site_fract_z
Sr1 Sr 0.000 0.000 0.000
Sr2 Sr 0.000 0.339 0.000
Ac1 Ac 0.000 0.500 0.500
Y1 Y 0.000 0.168 0.500
Te1 Te 0.229 0.000 0.735
Te2 Te 0.245 0.174 0.260


[3]
# Sr3Ac2YTe6, optimized geometry, DFT PBE
# D(E_F): 0.44 states/eV/atom
# M_tot: 0.00 μB per formula unit
data_Sr3Ac2YTe6
_chemical_formula_sum 'Sr6 Ac4 Y2 Te12'
_cell_length_a 20.445
_cell_length_b 4.634
_cell_length_c 9.416
_cell_angle_alpha 90.00
_cell_angle_beta 104.39
_cell_angle_gamma 90.00
_symmetry_space_group_name_H-M 'C 1 2/m 1'
_symmetry_Int_Tables_number 12
loop_
_symmetry_equiv_pos_as_xyz
'x,y,z'
'-x,-y,-z'
'-x,y,-z'
'x,-y,z'
'x+1/2,y+1/2,z'
'-x+1/2,-y+1/2,-z'
'-x+1/2,y+1/2,-z'
'x+1/2,-y+1/2,z'
loop_
_atom_site_label
_atom_site_type_symbol
_atom_site_fract_x
_atom_site_fract_y
_atom_site_fract_z
Sr1 Sr 0.000 0.000 0.000
Sr2 Sr 0.170 0.500 0.335
Ac1 Ac 0.166 0.500 0.833
Y1 Y 0.000 0.000 0.500
Te1 Te 0.003 0.500 0.267
Te2 Te 0.160 0.000 0.576
Te3 Te 0.165 0.000 0.087


[4]
# Sr2Ac3YTe6, optimized geometry, DFT PBE
# D(E_F): 0.51 states/eV/atom
# M_tot: 0.00 μB per formula unit
data_Sr2Ac3YTe6
_chemical_formula_sum 'Sr4 Ac6 Y2 Te12'
_cell_length_a 8.018
_cell_length_b 13.902
_cell_length_c 8.179
_cell_angle_alpha 90.00
_cell_angle_beta 109.16
_cell_angle_gamma 90.00
_symmetry_space_group_name_H-M 'C 1 2/m 1'
_symmetry_Int_Tables_number 12
loop_
_symmetry_equiv_pos_as_xyz
'x,y,z'
'-x,-y,-z'
'-x,y,-z'
'x,-y,z'
'x+1/2,y+1/2,z'
'-x+1/2,-y+1/2,-z'
'-x+1/2,y+1/2,-z'
'x+1/2,-y+1/2,z'
loop_
_atom_site_label
_atom_site_type_symbol
_atom_site_fract_x
_atom_site_fract_y
_atom_site_fract_z
Sr1 Sr 0.000 0.165 0.000
Ac1 Ac 0.000 0.000 0.500
Ac2 Ac 0.000 0.325 0.500
Y1 Y 0.000 0.500 0.000
Te1 Te 0.238 0.339 0.233
Te2 Te 0.239 0.500 0.755


[5]
# Sr3Ac3YTe8, optimized geometry, DFT PBE
# D(E_F): 0.36 states/eV/atom
# M_tot: 0.00 μB per formula unit
data_Sr3Ac3YTe8
_chemical_formula_sum 'Sr9 Ac9 Y3 Te24'
_cell_length_a 9.3678
_cell_length_b 9.3678
_cell_length_c 23.2853
_cell_angle_alpha 90.00
_cell_angle_beta 90.00
_cell_angle_gamma 120.00
_symmetry_space_group_name_H-M 'R -3 m'
_symmetry_Int_Tables_number 166
_symmetry_space_group_name_Hall '-R 3 2"'
loop_
_atom_site_label
_atom_site_type_symbol
_atom_site_fract_x
_atom_site_fract_y
_atom_site_fract_z
Sr1 Sr 0.0000 0.5000 0.0000
Ac1 Ac 0.0000 0.5000 0.5000
Y1 Y 0.0000 0.0000 0.5000
Te1 Te 0.0000 0.0000 0.2514
Te2 Te 0.0167 0.5083 0.2461


[6]
# SrAcTh, optimized geometry, DFT PBE
# D(E_F): 1.63 states/eV/atom
# M_tot: 0.00 μB per formula unit
# Energy relative to the lowest polymorph listed for this composition: 0.000 eV per atom
data_SrAcTh
_chemical_formula_sum 'Sr2 Ac2 Th2'
_cell_length_a 3.845
_cell_length_b 3.845
_cell_length_c 17.138
_cell_angle_alpha 90.00
_cell_angle_beta 90.00
_cell_angle_gamma 90.00
_symmetry_space_group_name_H-M 'P 4/n m m'
_symmetry_Int_Tables_number 129
loop_
_symmetry_equiv_pos_as_xyz
'x,y,z'
'-x,-y,-z'
'-y+1/2,x,z'
'y+1/2,-x,-z'
'-x+1/2,-y+1/2,z'
'x+1/2,y+1/2,-z'
'y,-x+1/2,z'
'-y,x+1/2,-z'
'x+1/2,-y,-z'
'-x+1/2,y,z'
'-y,-x,-z'
'y,x,z'
'-x,y+1/2,-z'
'x,-y+1/2,z'
'y+1/2,x+1/2,-z'
'-y+1/2,-x+1/2,z'
loop_
_atom_site_label
_atom_site_type_symbol
_atom_site_fract_x
_atom_site_fract_y
_atom_site_fract_z
Sr1 Sr 0.250 0.250 0.097
Ac1 Ac 0.250 0.250 0.716
Th1 Th 0.250 0.250 0.434


no.,total energy (eV per atom)
1,-4.542
2,-4.937
3,-4.769
4,-4.934
5,-4.854
6,-4.306